Record 1
Below is a relaxed structure of Mn4Cd, with properties calculated at the GGA-PBE level.

Results
Calculated density = 4.6 g/cm³
DFT formation energy = 1.5513 eV/atom
Raw total energy = -29.837 eV/cell
ΔE to the lowest computed polymorph = 6.01 eV/f.u.

Cell: 4.9407 4.9407 4.9407 Å, 90.00 90.00 90.00°
Atoms (fractional coordinates):
Mn  0.0000  0.0000  0.0000
Mn  0.0000  0.5000  0.5000
Mn  0.5000  0.0000  0.5000
Mn  0.5000  0.5000  0.0000
Cd  0.5000  0.5000  0.5000


Record 2
Below is a relaxed structure of MnCd3, with properties calculated at the GGA-PBE level.

Results
Calculated density = 8.3 g/cm³
DFT formation energy = 0.1730 eV/atom
Raw total energy = -11.223 eV/cell

Cell: 4.2866 4.2866 4.2866 Å, 90.00 90.00 90.00°
Atoms (fractional coordinates):
Mn  0.0000  0.0000  0.0000
Cd  0.0000  0.5000  0.5000
Cd  0.5000  0.0000  0.5000
Cd  0.5000  0.5000  0.0000


Q: Which of these has the lowest calculated density?
A: Mn4Cd


Repeat the first record exactly.
Below is a relaxed structure of Mn4Cd, with properties calculated at the GGA-PBE level.

Results
Calculated density = 4.6 g/cm³
DFT formation energy = 1.5513 eV/atom
Raw total energy = -29.837 eV/cell
ΔE to the lowest computed polymorph = 6.01 eV/f.u.

Cell: 4.9407 4.9407 4.9407 Å, 90.00 90.00 90.00°
Atoms (fractional coordinates):
Mn  0.0000  0.0000  0.0000
Mn  0.0000  0.5000  0.5000
Mn  0.5000  0.0000  0.5000
Mn  0.5000  0.5000  0.0000
Cd  0.5000  0.5000  0.5000